The following is a PBE-GGA calculation of an optimized crystal structure of Na2PaSO6, from the Alexandria database.

a = 4.4237 Å, b = 5.5508 Å, c = 5.5508 Å
α = 90.00°, β = 90.00°, γ = 90.00°
Last column: magnetic moment on the atom in μB.
Element x y z (fractional)
Na1 0.0737 0.5000 0.0000  0.00
Na2 0.0737 0.0000 0.5000  0.00
Pa1 0.6369 0.5000 0.5000  0.23
S1 0.5986 0.0000 0.0000  0.22
O1 0.6638 0.2270 0.2270  0.10
O2 0.6638 0.2270 0.7730  0.10
O3 0.1463 0.5000 0.5000  0.00
O4 0.2625 0.0000 0.0000  0.00
O5 0.6638 0.7730 0.7730  0.10
O6 0.6638 0.7730 0.2270  0.10

Values from the calculation:
Energy   -6.570 eV per atom


The following is a PBE-GGA calculation of an optimized crystal structure of NdSm2Tl2, from the Alexandria database.

a = 5.2569 Å, b = 5.2569 Å, c = 13.0689 Å
α = 90.00°, β = 90.00°, γ = 120.00°
Last column: magnetic moment on the atom in μB.
Element x y z (fractional)
Nd1 0.0000 0.0000 0.2500  0.11
Nd2 0.0000 0.0000 0.7500  0.11
Sm1 0.6667 0.3333 0.7500  0.01
Sm2 0.0000 0.0000 0.0000  0.11
Sm3 0.0000 0.0000 0.5000  0.11
Sm4 0.3333 0.6667 0.2500  0.01
Tl1 0.3333 0.6667 0.6269  0.00
Tl2 0.6667 0.3333 0.1269  0.00
Tl3 0.6667 0.3333 0.3731  0.00
Tl4 0.3333 0.6667 0.8731  0.00

Values from the calculation:
Formation enthalpy at 0 K   -0.029 eV per atom
Distance to the lowest polymorph of the same formula   132 meV per atom


no.,calculated volume (Å³ per cell),DOS at the Fermi energy (states/eV per cell)
1,136.30,1.416
2,312.77,4.738